[1]
The following is a DFT calculation (PBE) of crystalline V2Co2As at its relaxed geometry.

Computed properties:
The value obtained for the formation enthalpy at 0 K is -0.0263 eV per atom. The space-group type is P4/mbm.

Unit cell a=6.8228 b=6.8228 c=2.7603 alpha=90.00 beta=90.00 gamma=90.00
Element x y z (fractional)
Co1 0.6298 0.1298 0.0000
Co2 0.1298 0.3702 0.0000
Co3 0.8702 0.6298 0.0000
Co4 0.3702 0.8702 0.0000
V1 0.3379 0.1621 0.5000
V2 0.8379 0.3379 0.5000
V3 0.6621 0.8379 0.5000
V4 0.1621 0.6621 0.5000
As1 0.5000 0.5000 0.0000
As2 0.0000 0.0000 0.0000

---

[2]
The following is a DFT calculation (PBE) of crystalline BaCl2F8 at its relaxed geometry.

Computed properties:
The calculation puts the distance to the lowest polymorph of the same formula at 0.000 eV/atom. As for the formation energy without anion corrections: -1.5449 eV per atom. The space-group type is I422.

Unit cell a=6.0514 b=6.0514 c=7.0777 alpha=115.31 beta=115.31 gamma=90.00
Element x y z (fractional)
Cl1 0.2500 0.7500 0.5000
Cl2 0.7500 0.2500 0.5000
F1 0.5138 0.7113 0.7306
F2 0.4862 0.9807 0.2695
F3 0.7113 0.2168 0.7305
F4 0.9807 0.7832 0.2695
F5 0.7832 0.2887 0.2695
F6 0.0193 0.5138 0.7305
F7 0.2168 0.0193 0.7305
F8 0.2887 0.4862 0.2695
Ba1 0.5000 0.5000 0.0000

---

[3]
The following is a DFT calculation (PBE) of crystalline NdCrGa at its relaxed geometry.

Computed properties:
The value obtained for the formation enthalpy at 0 K is 0.0141 eV per atom. The space-group type is C2/m.

Unit cell a=4.4110 b=5.5006 c=6.2691 alpha=97.67 beta=90.00 gamma=113.64
Element x y z (fractional)
Cr1 0.4174 0.8347 0.5562
Cr2 0.5826 0.1653 0.4438
Nd1 0.8816 0.7632 0.2005
Nd2 0.1184 0.2368 0.7995
Ga1 0.1842 0.3684 0.3222
Ga2 0.8158 0.6316 0.6778

---

[4]
The following is a DFT calculation (PBE) of crystalline Sr2Sc at its relaxed geometry.

Computed properties:
The calculation puts the distance to the lowest polymorph of the same formula at 0.171 eV/atom. The value obtained for the formation enthalpy at 0 K is 0.3857 eV per atom. The space-group type is P6_3/mmc.

Unit cell a=6.1944 b=6.1944 c=7.4888 alpha=90.00 beta=90.00 gamma=120.00
Site moments in Bohr magnetons follow the coordinates.
Element x y z (fractional)
Sc1 0.6667 0.3333 0.7500  0.28
Sc2 0.3333 0.6667 0.2500  0.28
Sr1 0.6667 0.3333 0.2500  0.03
Sr2 0.0000 0.0000 0.0000  0.05
Sr3 0.0000 0.0000 0.5000  0.05
Sr4 0.3333 0.6667 0.7500  0.03

---

[5]
The following is a DFT calculation (PBE) of crystalline BeHg2Cl at its relaxed geometry.

Computed properties:
The calculation puts the distance to the lowest polymorph of the same formula at 0.057 eV/atom. As for the formation energy without anion corrections: -0.1436 eV per atom. The space-group type is Cmm2.

Unit cell a=3.5228 b=3.5228 c=10.2232 alpha=90.00 beta=90.00 gamma=127.21
Element x y z (fractional)
Hg1 0.5000 0.5000 0.3143
Hg2 0.0000 0.0000 0.0376
Cl1 0.5000 0.5000 0.6394
Be1 0.0000 0.0000 0.5086

---

[6]
The following is a DFT calculation (PBE) of crystalline Rb2SmThS4 at its relaxed geometry.

Computed properties:
As for the formation energy without anion corrections: -1.7428 eV per atom. The space-group type is P2/m.

Unit cell a=4.1603 b=7.1840 c=8.1105 alpha=107.15 beta=90.00 gamma=90.00
Element x y z (fractional)
S1 0.5000 0.7687 0.8003
S2 0.0000 0.2639 0.8015
S3 0.5000 0.2313 0.1997
S4 0.0000 0.7361 0.1985
Th1 0.0000 0.0000 0.0000
Rb1 0.5000 0.0000 0.5000
Rb2 0.0000 0.5000 0.5000
Sm1 0.5000 0.5000 0.0000

---

[7]
The following is a DFT calculation (PBE) of crystalline InHgPb2 at its relaxed geometry.

Computed properties:
The calculation puts the distance to the lowest polymorph of the same formula at 0.012 eV/atom. The value obtained for the formation enthalpy at 0 K is 0.0168 eV per atom. The space-group type is Pm.

Unit cell a=5.0201 b=3.4665 c=7.2015 alpha=67.62 beta=90.00 gamma=90.00
Element x y z (fractional)
Hg1 0.0000 0.5196 0.5071
Pb1 0.5000 0.2773 0.2562
Pb2 0.0000 0.9943 0.9972
In1 0.5000 0.7088 0.7395

---

[8]
The following is a DFT calculation (PBE) of crystalline Na6Sn2Hg at its relaxed geometry.

Computed properties:
The calculation puts the distance to the lowest polymorph of the same formula at 0.000 eV/atom. The value obtained for the formation enthalpy at 0 K is -0.1800 eV per atom. The space-group type is R-3m.

Unit cell a=5.5063 b=5.5063 c=10.7314 alpha=75.13 beta=75.13 gamma=60.00
Element x y z (fractional)
Na1 0.4233 0.4233 0.7301
Na2 0.1935 0.1935 0.4195
Na3 0.5767 0.5767 0.2699
Na4 0.8065 0.8065 0.5805
Na5 0.2978 0.2978 0.1067
Na6 0.7022 0.7022 0.8933
Sn1 0.0903 0.0903 0.7292
Sn2 0.9097 0.9097 0.2708
Hg1 0.0000 0.0000 0.0000

---

[9]
The following is a DFT calculation (PBE) of crystalline La2EuMg at its relaxed geometry.

Computed properties:
The calculation puts the distance to the lowest polymorph of the same formula at 0.035 eV/atom. The value obtained for the formation enthalpy at 0 K is 0.0170 eV per atom. The space-group type is Fm-3m.

Unit cell a=5.8008 b=5.8008 c=5.8008 alpha=60.00 beta=60.00 gamma=60.00
Site moments in Bohr magnetons follow the coordinates.
Element x y z (fractional)
La1 0.7500 0.7500 0.7500  0.05
La2 0.2500 0.2500 0.2500  0.05
Mg1 0.5000 0.5000 0.5000  -0.01
Eu1 0.0000 0.0000 0.0000  6.86

---

[10]
The following is a DFT calculation (PBE) of crystalline TaTiOsPdPb at its relaxed geometry.

Computed properties:
The calculation puts the distance to the lowest polymorph of the same formula at 0.178 eV/atom. The value obtained for the formation enthalpy at 0 K is -0.0180 eV per atom. The space-group type is Imm2.

Unit cell a=4.3692 b=4.1938 c=11.0150 alpha=90.00 beta=90.00 gamma=90.00
Element x y z (fractional)
Os1 0.5000 0.5000 0.3885
Os2 0.0000 0.0000 0.8885
Ti1 0.0000 0.5000 0.2727
Ti2 0.5000 0.0000 0.7727
Ta1 0.5000 0.0000 0.2608
Ta2 0.0000 0.5000 0.7608
Pd1 0.5000 0.5000 0.6289
Pd2 0.0000 0.0000 0.1289
Pb1 0.0000 0.0000 0.5101
Pb2 0.5000 0.5000 0.0101

---

[11]
The following is a DFT calculation (PBE) of crystalline Er2SiSe6 at its relaxed geometry.

Computed properties:
As for the formation energy without anion corrections: -0.9656 eV per atom. The space-group type is P2_1/c.

Unit cell a=6.7938 b=7.3883 c=8.5821 alpha=90.00 beta=91.93 gamma=90.00
Element x y z (fractional)
Se1 0.1484 0.0389 0.7564
Se2 0.6969 0.1741 0.5672
Se3 0.3319 0.7972 0.0590
Se4 0.1681 0.2972 0.4410
Se5 0.3031 0.8259 0.4328
Se6 0.8516 0.9611 0.2436
Se7 0.6681 0.2028 0.9410
Se8 0.6484 0.4611 0.2564
Se9 0.8319 0.7028 0.5590
Se10 0.3516 0.5389 0.7436
Se11 0.8031 0.6741 0.9328
Se12 0.1969 0.3259 0.0672
Er1 0.4710 0.1141 0.2582
Er2 0.0290 0.6141 0.2418
Er3 0.5290 0.8859 0.7418
Er4 0.9710 0.3859 0.7582
Si1 0.5000 0.5000 0.0000
Si2 0.0000 0.0000 0.5000

---

[12]
The following is a DFT calculation (PBE) of crystalline Sr2PuH12Pd3 at its relaxed geometry.

Computed properties:
The space-group type is R-3m.

Unit cell a=6.3733 b=6.3733 c=6.3733 alpha=63.90 beta=63.90 gamma=63.90
Site moments in Bohr magnetons follow the coordinates.
Element x y z (fractional)
H1 0.1301 0.5876 0.1301  0.00
H2 0.5876 0.1301 0.1301  0.00
H3 0.7334 0.7334 0.1105  0.00
H4 0.4124 0.8699 0.8699  0.00
H5 0.8699 0.8699 0.4124  0.00
H6 0.7334 0.1105 0.7334  0.00
H7 0.2666 0.8895 0.2666  0.00
H8 0.8895 0.2666 0.2666  0.00
H9 0.2666 0.2666 0.8895  0.00
H10 0.8699 0.4124 0.8699  0.00
H11 0.1301 0.1301 0.5876  0.00
H12 0.1105 0.7334 0.7334  0.00
Pd1 0.5000 0.0000 0.0000  0.13
Pd2 0.0000 0.0000 0.5000  0.13
Pd3 0.0000 0.5000 0.0000  0.13
Pu1 0.0000 0.0000 0.0000  5.22
Sr1 0.3839 0.3839 0.3839  0.02
Sr2 0.6161 0.6161 0.6161  0.02

---

[13]
The following is a DFT calculation (PBE) of crystalline Pm3Ho2UN6 at its relaxed geometry.

Computed properties:
As for the formation energy without anion corrections: -1.5786 eV per atom. The space-group type is C2/m.

Unit cell a=6.0615 b=6.0615 c=6.1271 alpha=99.50 beta=99.50 gamma=119.94
Site moments in Bohr magnetons follow the coordinates.
Element x y z (fractional)
Ho1 0.3338 0.6662 0.0000  0.01
Ho2 0.6662 0.3338 0.0000  0.01
N1 0.3878 0.0748 0.2244  -0.01
N2 0.9252 0.6122 0.7756  -0.01
N3 0.2382 0.2382 0.7749  -0.01
N4 0.0748 0.3878 0.2244  -0.01
N5 0.7618 0.7618 0.2251  -0.01
N6 0.6122 0.9252 0.7756  -0.01
U1 0.0000 0.0000 0.0000  0.26
Pm1 0.5000 0.5000 0.5000  0.01
Pm2 0.1681 0.8319 0.5000  0.01
Pm3 0.8319 0.1681 0.5000  0.01

---

[14]
The following is a DFT calculation (PBE) of crystalline KTlMo3 at its relaxed geometry.

Computed properties:
The calculation puts the distance to the lowest polymorph of the same formula at 0.331 eV/atom. The value obtained for the formation enthalpy at 0 K is 2.9854 eV per atom. The space-group type is Pm-3m.

Unit cell a=4.6137 b=4.6137 c=4.6137 alpha=90.00 beta=90.00 gamma=90.00
Element x y z (fractional)
Tl1 0.5000 0.5000 0.5000
Mo1 0.0000 0.0000 0.5000
Mo2 0.0000 0.5000 0.0000
Mo3 0.5000 0.0000 0.0000
K1 0.0000 0.0000 0.0000

---

[15]
The following is a DFT calculation (PBE) of crystalline NaCa2PtO at its relaxed geometry.

Computed properties:
As for the formation energy without anion corrections: -1.3429 eV per atom. The space-group type is P4/mmm.

Unit cell a=4.6823 b=4.6823 c=4.5146 alpha=90.00 beta=90.00 gamma=90.00
Element x y z (fractional)
Pt1 0.5000 0.5000 0.5000
Ca1 0.0000 0.5000 0.0000
Ca2 0.5000 0.0000 0.0000
Na1 0.0000 0.0000 0.5000
O1 0.0000 0.0000 0.0000

---

[16]
The following is a DFT calculation (PBE) of crystalline ScV2Bi at its relaxed geometry.

Computed properties:
The value obtained for the formation enthalpy at 0 K is 0.7758 eV per atom. The space-group type is I-42d.

Unit cell a=7.5984 b=7.5984 c=6.0754 alpha=51.29 beta=51.29 gamma=90.00
Element x y z (fractional)
Bi1 0.0000 0.0000 0.0000
Bi2 0.7500 0.2500 0.5000
V1 0.3750 0.3627 0.7500
V2 0.8750 0.8873 0.7500
V3 0.1127 0.6250 0.2500
V4 0.6373 0.1250 0.2500
Sc1 0.5000 0.5000 0.0000
Sc2 0.2500 0.7500 0.5000

---

[17]
The following is a DFT calculation (PBE) of crystalline TaSbAu at its relaxed geometry.

Computed properties:
The calculation puts the distance to the lowest polymorph of the same formula at 0.025 eV/atom. As for the formation energy without anion corrections: 0.1772 eV per atom. The space-group type is P3m1.

Unit cell a=3.1588 b=3.1588 c=7.1528 alpha=90.00 beta=90.00 gamma=120.00
Element x y z (fractional)
Ta1 0.6667 0.3333 0.6750
Au1 0.0000 0.0000 0.9779
Sb1 0.3333 0.6667 0.3471

---

[18]
The following is a DFT calculation (PBE) of crystalline Na2VHg at its relaxed geometry.

Computed properties:
The value obtained for the formation enthalpy at 0 K is 0.6042 eV per atom. The space-group type is I-42d.

Unit cell a=8.4755 b=8.4755 c=6.6581 alpha=50.47 beta=50.47 gamma=90.00
Site moments in Bohr magnetons follow the coordinates.
Element x y z (fractional)
Na1 0.1073 0.6250 0.2500  0.01
Na2 0.8750 0.8927 0.7500  0.01
Na3 0.6427 0.1250 0.2500  0.01
Na4 0.3750 0.3573 0.7500  0.01
Hg1 0.0000 0.0000 0.0000  0.04
Hg2 0.7500 0.2500 0.5000  0.04
V1 0.5000 0.5000 0.0000  3.03
V2 0.2500 0.7500 0.5000  3.03

---

[19]
The following is a DFT calculation (PBE) of crystalline AlCd2NiI at its relaxed geometry.

Computed properties:
As for the formation energy without anion corrections: 0.9096 eV per atom. The space-group type is P4/mmm.

Unit cell a=6.1879 b=4.5836 c=6.1879 alpha=90.00 beta=90.00 gamma=90.00
Element x y z (fractional)
Ni1 0.0000 0.5000 0.0000
Cd1 0.0000 0.0000 0.5000
Cd2 0.5000 0.0000 0.0000
Al1 0.5000 0.5000 0.5000
I1 0.0000 0.0000 0.0000

---

[20]
The following is a DFT calculation (PBE) of crystalline HfNbIO2 at its relaxed geometry.

Computed properties:
The calculation puts the distance to the lowest polymorph of the same formula at 0.404 eV/atom. As for the formation energy without anion corrections: -0.5792 eV per atom. The space-group type is P4/mmm.

Unit cell a=4.0324 b=4.0324 c=5.9554 alpha=90.00 beta=90.00 gamma=90.00
Site moments in Bohr magnetons follow the coordinates.
Element x y z (fractional)
O1 0.0000 0.5000 0.0000  0.04
O2 0.5000 0.0000 0.0000  0.04
I1 0.0000 0.0000 0.5000  0.02
Hf1 0.5000 0.5000 0.5000  0.69
Nb1 0.0000 0.0000 0.0000  -0.17

---

| no. | total DFT energy (no corrections) (eV per atom) |
| --- | --- |
| 1 | -7.45 |
| 2 | -3.42 |
| 3 | -5.79 |
| 4 | -2.85 |
| 5 | -1.69 |
| 6 | -5.57 |
| 7 | -2.60 |
| 8 | -1.98 |
| 9 | -5.41 |
| 10 | -7.99 |
| 11 | -4.91 |
| 12 | -4.36 |
| 13 | -8.63 |
| 14 | -4.21 |
| 15 | -4.61 |
| 16 | -6.34 |
| 17 | -6.24 |
| 18 | -2.41 |
| 19 | -1.67 |
| 20 | -6.88 |